(1)
The following is a DFT calculation (PBE) of a geometry-optimized MgPd4Pt structure.

Structure (POSCAR):
```
MgPd4Pt
1.0
-1.9673 -3.4250 -0.0386
3.3583 -1.9180 -0.9799
2.2114 0.9430 5.7332
Pd Pt Mg
4 1 1
direct
0.8355 0.5000 0.6711
0.1645 0.5000 0.3289
0.6666 0.0000 0.3331
0.3334 0.0000 0.6669
0.0000 0.0000 0.0000
0.5000 0.5000 0.0000
```

Output
The value obtained for the relative energy among the computed polymorphs is 0.0000 eV per atom. The density of states at the Fermi level is 7.10 states/eV per cell. The formation energy from the elements is -0.36 eV per atom. The calculated density comes out at 11.53 g cm⁻³.

=====

(2)
The following is a DFT calculation (PBE) of a geometry-optimized Mg2Pd7Pt3 structure.

Structure (POSCAR):
```
Mg2Pd7Pt3
1.0
-1.5992 -1.4648 -1.7611
-2.4240 -1.4511 3.4082
-9.2267 13.6760 -0.7389
Pd Pt Mg
7 3 2
direct
0.0000 0.0000 0.0000
0.7140 0.5000 0.4290
0.9298 0.5000 0.8618
0.4072 0.0000 0.8166
0.2860 0.5000 0.5710
0.5928 0.0000 0.1834
0.0702 0.5000 0.1382
0.8248 0.0000 0.6525
0.5000 0.5000 0.0000
0.1752 0.0000 0.3475
0.3579 0.5000 0.7222
0.6421 0.5000 0.2778
```

Output
The value obtained for the relative energy among the computed polymorphs is 0.1180 eV per atom. The density of states at the Fermi level is 18.60 states/eV per cell. The formation energy from the elements is -0.05 eV per atom. The calculated density comes out at 11.25 g cm⁻³.

=====

(3)
The following is a DFT calculation (PBE) of a geometry-optimized Mg6PdPt5 structure.

Structure (POSCAR):
```
Mg6PdPt5
1.0
-0.4324 2.0908 -3.6942
-5.1990 -4.3028 -1.8267
-4.0086 2.9078 4.5597
Mg Pt Pd
6 5 1
direct
0.8324 0.2507 0.6658
0.5000 0.7495 0.0000
0.1676 0.7493 0.3342
0.1676 0.2507 0.3342
0.8324 0.7493 0.6658
0.5000 0.2505 0.0000
0.3334 0.0000 0.6669
0.6667 0.5000 0.3331
0.6666 0.0000 0.3331
0.3333 0.5000 0.6669
0.0000 0.5000 0.0000
0.0000 0.0000 0.0000
```

Output
The density of states at the Fermi level is 2.02 states/eV per cell. The formation energy from the elements is -0.86 eV per atom. The calculated density comes out at 10.69 g cm⁻³.

=====

(4)
The following is a DFT calculation (PBE) of a geometry-optimized Mg2Pd8Pt structure.

Structure (POSCAR):
```
Mg2Pd8Pt
1.0
-1.2732 1.6763 4.3986
5.6702 -1.7880 5.5174
6.4141 3.1195 3.8625
Pt Pd Mg
1 8 2
direct
0.0000 0.0000 0.0000
0.7795 0.5843 0.5843
0.2973 0.8406 0.3389
0.8948 0.7414 0.7414
0.7027 0.6611 0.1594
0.2205 0.4157 0.4157
0.2973 0.3389 0.8406
0.7027 0.1594 0.6611
0.1052 0.2586 0.2586
0.3120 0.8145 0.8145
0.6880 0.1855 0.1855
```

Output
The value obtained for the relative energy among the computed polymorphs is 0.0574 eV per atom. The density of states at the Fermi level is 10.00 states/eV per cell. The formation energy from the elements is -0.21 eV per atom. The calculated density comes out at 10.01 g cm⁻³.

=====

(5)
The following is a DFT calculation (PBE) of a geometry-optimized Mg8PdPt2 structure.

Structure (POSCAR):
```
Mg8PdPt2
1.0
-0.8694 -2.1490 3.7219
4.7226 -5.3339 -1.9766
2.7539 6.8214 1.9990
Pt Mg Pd
2 8 1
direct
0.1929 0.6930 0.3859
0.8071 0.3070 0.6141
0.6583 0.8761 0.3167
0.8550 0.8550 0.7099
0.3417 0.1239 0.6833
0.6583 0.4405 0.3167
0.0000 0.3103 0.0000
0.3417 0.5595 0.6833
0.1450 0.1450 0.2901
0.0000 0.6897 0.0000
0.5000 0.0000 0.0000
```

Output
The value obtained for the relative energy among the computed polymorphs is 0.0000 eV per atom. The density of states at the Fermi level is 3.99 states/eV per cell. The formation energy from the elements is -0.55 eV per atom. The calculated density comes out at 5.62 g cm⁻³.

=====

(6)
The following is a DFT calculation (PBE) of a geometry-optimized MgPdPt structure.

Structure (POSCAR):
```
MgPdPt
1.0
2.8559 0.0000 0.0000
0.0000 2.8559 0.0000
-1.4279 -1.4279 5.7687
Pt Pd Mg
1 1 1
direct
0.3288 0.3288 0.6575
0.0039 0.0039 0.0077
0.6674 0.6674 0.3347
```

Output
The value obtained for the relative energy among the computed polymorphs is 0.0372 eV per atom. The density of states at the Fermi level is 0.89 states/eV per cell. The formation energy from the elements is -0.56 eV per atom. The calculated density comes out at 11.50 g cm⁻³.